ZnSb3: relaxed, PBE.

Unit cell a=5.1593 b=5.1593 c=3.8648 alpha=90.00 beta=90.00 gamma=100.56
Positions (direct):
Sb: 0.0000 0.5000 0.5000
Sb: 0.5000 0.0000 0.5000
Sb: 0.5000 0.5000 0.0000
Zn: 0.0000 0.0000 0.0000

Output
The magnetization is 0.00 μB per cell. The value obtained for the energy above the most stable polymorph in this dataset is 161 meV per atom. The value obtained for the formation energy from raw total energies is 96 kJ/mol of formula units.